Entry 1:
Compound: KLiTl
Source: Alexandria
Functional: PBE
Structure: relaxed

extended XYZ file:
```
3
Lattice="-1.5724 -2.3089 -6.3824 -5.5383 -3.3052 -2.6347 2.6000 5.2876 3.7175" Properties=species:S:1:pos:R:3 pbc="T T T"
Tl -5.0558 -3.9917 -6.4113
K -0.0389 -0.0307 -0.0494
Li -2.0160 -1.5917 -2.5564
```

* magnetic moment: 0.0 μB/cell
* ΔH_f (0 K): -67 meV per atom
* volume: 32.6 A^3/atom
* DOS(E_F): 1.8 states/eV per cell
* total energy: -1.860 eV per atom

***

Entry 2:
Compound: K2LiTl
Source: Alexandria
Functional: PBE
Structure: relaxed

extended XYZ file:
```
8
Lattice="9.7352 0.0000 0.0000 0.0000 9.7352 0.0000 4.8676 4.8676 3.3655" Properties=species:S:1:pos:R:3 pbc="T T T"
Tl 0.0000 0.0000 0.0000
Tl 9.7352 4.8676 1.6828
K 7.2093 2.4338 0.8414
K 2.5260 7.3014 0.8414
K 7.3014 7.3936 2.5242
K 12.1691 12.0769 2.5242
Li 4.8676 4.8676 0.0000
Li 4.8676 9.7352 1.6828
```

* magnetic moment: 0.0 μB/cell
* ΔH_f (0 K): 128 meV per atom
* volume: 39.9 A^3/atom
* DOS(E_F): 2.5 states/eV per cell
* total energy: -1.490 eV per atom

***

Entry 3:
Compound: K2LiTl2
Source: Alexandria
Functional: PBE
Structure: relaxed

extended XYZ file:
```
10
Lattice="10.3652 0.0000 0.0000 0.0000 10.3652 0.0000 0.0000 0.0000 3.6121" Properties=species:S:1:pos:R:3 pbc="T T T"
Tl 1.1849 6.3675 1.8060
Tl 6.3675 9.1803 1.8060
Tl 9.1803 3.9977 1.8060
Tl 3.9977 1.1849 1.8060
K 3.3173 8.5000 0.0000
K 8.5000 7.0479 0.0000
K 7.0479 1.8653 0.0000
K 1.8653 3.3173 0.0000
Li 0.0000 0.0000 0.0000
Li 5.1826 5.1826 0.0000
```

* magnetic moment: 0.0 μB/cell
* ΔH_f (0 K): 118 meV per atom
* volume: 38.8 A^3/atom
* DOS(E_F): 7.7 states/eV per cell
* total energy: -1.650 eV per atom

***

Entry 4:
Compound: KLiTl
Source: Alexandria
Functional: PBE
Structure: relaxed

extended XYZ file:
```
3
Lattice="3.8488 0.0000 0.0000 -1.9244 3.3331 0.0000 0.0000 0.0000 8.0844" Properties=species:S:1:pos:R:3 pbc="T T T"
K 0.0000 0.0000 8.0025
Li 0.0000 2.2221 3.1019
Tl 1.9244 1.1110 5.0644
```

* magnetic moment: 0.0 μB/cell
* ΔH_f (0 K): 62 meV per atom
* volume: 34.6 A^3/atom
* DOS(E_F): 2.4 states/eV per cell
* total energy: -1.731 eV per atom

***

Entry 5:
Compound: K8LiTl2
Source: Alexandria
Functional: PBE
Structure: relaxed

extended XYZ file:
```
11
Lattice="6.7700 0.3904 -1.3239 -2.4863 8.7984 -2.3744 0.3300 0.0266 9.4405" Properties=species:S:1:pos:R:3 pbc="T T T"
K 0.9024 0.3824 2.9045
K 0.0617 3.0009 -0.6224
K 0.6135 7.0221 5.0672
K 2.9677 2.5494 5.6435
K 1.6461 6.6661 0.0987
K 4.0003 2.1934 0.6749
K 4.5521 6.2146 6.3646
K 3.7114 8.8331 2.8377
Li 2.3069 4.6077 2.8711
Tl -0.7761 3.4719 4.8000
Tl -1.3801 5.3531 2.2661
```

* magnetic moment: 0.0 μB/cell
* ΔH_f (0 K): 35 meV per atom
* volume: 52.3 A^3/atom
* DOS(E_F): 8.7 states/eV per cell
* total energy: -1.368 eV per atom

***

Entry 6:
Compound: KLiTlW2
Source: Alexandria
Functional: PBE
Structure: relaxed

extended XYZ file:
```
5
Lattice="4.7047 0.0000 0.0000 0.0000 5.6537 0.0000 0.0000 0.0000 4.7047" Properties=species:S:1:pos:R:3 pbc="T T T"
Tl 0.0000 2.8268 0.0000
K 0.0000 0.0000 0.0000
W 0.0000 0.0000 2.3524
W 2.3524 0.0000 0.0000
Li 2.3524 2.8268 2.3524
```

* magnetic moment: 1.5 μB/cell
* ΔH_f (0 K): 3050 meV per atom
* volume: 25.0 A^3/atom
* DOS(E_F): 5.2 states/eV per cell
* total energy: -3.207 eV per atom

***

> Which of these has the highest ΔH_f (0 K)?

KLiTlW2